Entry from the Alexandria database: an optimized crystal structure of Ac8SiP3Se4 (PBE).

Unit cell a=8.9406 b=8.9406 c=22.1057 alpha=90.00 beta=90.00 gamma=120.00
Last column: nearest neighbours and their distance in Å.
Space group R-3m (No. 166, hexagonal axes)
Unique sites:
1 Ac 0.0000 0.0000 0.2443 x6  3 P 3.10, 3 Se 3.25
2 Ac 0.9996 0.4998 0.2449 x18  2 P 3.11, 1 Si 3.11, 3 Se 3.24
3 Si 0.0000 0.0000 0.5000 x3  6 Ac 3.11
4 P 0.0000 0.5000 0.5000 x9  6 Ac 3.10-3.11
5 Se 0.0000 0.0000 0.0000 x3  6 Ac 3.24
6 Se 0.0000 0.5000 0.0000 x9  6 Ac 3.24-3.25

Output
As for the electronic total energy: -5.92 eV/atom. The value obtained for the density of states at the Fermi level is 0.191 states/eV/atom. Its density is 7.3 Mg/m³.

Entry from the Alexandria database: an optimized crystal structure of AcSmPSe (PBE).

Unit cell a=4.2026 b=4.2026 c=22.4269 alpha=90.00 beta=90.00 gamma=120.00
Last column: nearest neighbours and their distance in Å.
Space group R3m (No. 160, hexagonal axes)
Unique sites:
1 Ac 0.0000 0.0000 0.0000 x3  3 P 3.02, 3 Se 3.24
2 Sm 0.0000 0.0000 0.1839 x3  3 P 2.89, 3 Se 3.13
3 P 0.0000 0.0000 0.5868 x3  3 Sm 2.89, 3 Ac 3.02
4 Se 0.0000 0.0000 0.4294 x3  3 Sm 3.13, 3 Ac 3.24

Output
As for the electronic total energy: -6.09 eV/atom. The value obtained for the density of states at the Fermi level is 0.610 states/eV/atom. Its density is 7.1 Mg/m³.

Entry from the Alexandria database: an optimized crystal structure of Ac6SnP2Se3 (PBE).

Unit cell a=19.7741 b=4.5363 c=9.0693 alpha=90.00 beta=103.24 gamma=90.00
Last column: nearest neighbours and their distance in Å.
Space group C2/m (No. 12)
Unique sites:
1 Ac 0.0050 0.0000 0.2572 x4  1 P 3.16, 3 Se 3.18-3.28, 2 Sn 3.24
2 Ac 0.1689 0.5000 0.0971 x4  2 P 3.14, 3 Se 3.19-3.30, 1 Sn 3.25
3 Ac 0.1710 0.5000 0.5740 x4  3 P 3.08-3.12, 3 Se 3.27-3.29
4 Sn 0.0000 0.5000 0.0000 x2  6 Ac 3.24-3.25
5 P 0.1691 0.0000 0.3371 x4  6 Ac 3.08-3.16
6 Se 0.0000 0.5000 0.5000 x2  6 Ac 3.18-3.29
7 Se 0.1656 0.0000 0.8311 x4  6 Ac 3.19-3.30

Output
As for the electronic total energy: -5.74 eV/atom. The value obtained for the density of states at the Fermi level is 0.358 states/eV/atom. Its density is 7.5 Mg/m³.

Entry from the Alexandria database: an optimized crystal structure of Ac8Te4PSe3 (PBE).

Unit cell a=9.1221 b=9.1221 c=22.9343 alpha=90.00 beta=90.00 gamma=120.00
Last column: nearest neighbours and their distance in Å.
Space group R-3m (No. 166, hexagonal axes)
Unique sites:
1 Ac 0.0000 0.0000 0.2417 x6  3 Se 3.15, 3 Te 3.37
2 Ac 0.0104 0.5052 0.2399 x18  1 P 3.05, 2 Se 3.16, 2 Te 3.36
3 Te 0.0000 0.0000 0.0000 x3  6 Ac 3.46
4 Te 0.0000 0.5000 0.0000 x9  6 Ac 3.36-3.37
5 P 0.0000 0.0000 0.5000 x3  6 Ac 3.05
6 Se 0.0000 0.5000 0.5000 x9  6 Ac 3.15-3.16

Output
As for the electronic total energy: -5.49 eV/atom. The value obtained for the density of states at the Fermi level is 0.415 states/eV/atom. Its density is 7.8 Mg/m³.